Density functional theory data (PBE) for an optimized crystal structure of CeC.

Output
Density of states at the Fermi level   1.23 states/eV per cell
Space group   Fm-3m, No. 225
Energy of formation from the pure elements   -5.43 kJ per mole of atoms
Final energy   -7.635 eV/atom

a = 3.668 Å, b = 3.668 Å, c = 3.668 Å
α = 60.00°, β = 60.00°, γ = 60.00°
Atoms (fractional coordinates):
Ce  0.000  0.000  0.000
C  0.500  0.500  0.500